# 1
A geometry-optimized YInPtCl2 structure. Source: the Alexandria database, functional PBE-GGA.

Summary:
Calculated density: 4.8 g/cm3
D(E_F): 0.8947 states/eV per atom
Crystal system: tetragonal
Formation energy without anion corrections: -0.351 eV/atom

Cell lengths 4.9050, 4.9050, 6.7880 Å; angles 90.00, 90.00, 90.00 degrees
Space group P4/mmm (No. 123)
Unique sites:
Y 0.0000 0.0000 0.0000 (multiplicity 1)
In 0.0000 0.0000 0.5000 (multiplicity 1)
Pt 0.5000 0.5000 0.5000 (multiplicity 1)
Cl 0.0000 0.5000 0.0000 (multiplicity 2)



# 2
A geometry-optimized K12Ge3H5 structure. Source: the Alexandria database, functional PBE-GGA.

Summary:
Calculated density: 1.6 g/cm3
D(E_F): 0.4878 states/eV per atom
Total energy: -2.157 eV per atom
Crystal system: cubic

Cell lengths 17.9976, 17.9976, 17.9976 Å; angles 90.00, 90.00, 90.00 degrees
Space group Ia-3d (No. 230)
Unique sites:
K 0.0280 0.0551 0.6513 (multiplicity 96)
Ge 0.0000 0.2500 0.1250 (multiplicity 24)
H 0.0000 0.0000 0.0000 (multiplicity 16)
H 0.0000 0.2500 0.3750 (multiplicity 24)



# 3
A geometry-optimized LaTl3Zn structure. Source: the Alexandria database, functional PBE-GGA.

Summary:
Calculated density: 5.5 g/cm3
D(E_F): 2.1888 states/eV per atom
Energy relative to the elements: 0.689 eV/atom
Polymorph energy (0 for the lowest one): 646 meV/atom
Crystal system: cubic

Cell lengths 6.2859, 6.2859, 6.2859 Å; angles 90.00, 90.00, 90.00 degrees
Space group Pm-3m (No. 221)
Unique sites:
La 0.0000 0.0000 0.0000 (multiplicity 1)
Tl 0.0000 0.0000 0.5000 (multiplicity 3)
Zn 0.5000 0.5000 0.5000 (multiplicity 1)



# 4
A geometry-optimized SrSiB2P structure. Source: the Alexandria database, functional PBE-GGA.

Summary:
Calculated density: 3.4 g/cm3
D(E_F): 0.4046 states/eV per atom
Crystal system: tetragonal
Formation energy without anion corrections: 0.932 eV/atom

Cell lengths 4.1624, 4.1624, 4.7423 Å; angles 90.00, 90.00, 90.00 degrees
Space group P4/mmm (No. 123)
Unique sites:
Sr 0.0000 0.0000 0.0000 (multiplicity 1)
Si 0.5000 0.5000 0.0000 (multiplicity 1)
B 0.0000 0.5000 0.5000 (multiplicity 2)
P 0.5000 0.5000 0.5000 (multiplicity 1)



# 5
A geometry-optimized KLi2Ta structure. Source: the Alexandria database, functional PBE-GGA.

Summary:
Calculated density: 4.1 g/cm3
D(E_F): 1.0669 states/eV per atom
Energy relative to the elements: 0.671 eV/atom
Polymorph energy (0 for the lowest one): 40 meV/atom
Crystal system: tetragonal

Cell lengths 2.9510, 2.9510, 10.7861 Å; angles 90.00, 90.00, 90.00 degrees
Space group P4/mmm (No. 123)
Unique sites:
K 0.0000 0.0000 0.0000 (multiplicity 1)
Li 0.5000 0.5000 0.3004 (multiplicity 2)
Ta 0.0000 0.0000 0.5000 (multiplicity 1)



# 6
A geometry-optimized HgTe2Se structure. Source: the Alexandria database, functional PBE-GGA.

Summary:
Calculated density: 7.8 g/cm3
D(E_F): 0.3858 states/eV per atom
Polymorph energy (0 for the lowest one): 222 meV/atom
Crystal system: orthorhombic
Formation energy without anion corrections: 0.228 eV/atom

Cell lengths 3.8152, 5.7918, 10.2474 Å; angles 90.00, 90.00, 90.00 degrees
Space group Cmmm (No. 65)
Unique sites:
Hg 0.0000 0.0000 0.0000 (multiplicity 2)
Te 0.0000 0.5000 0.2910 (multiplicity 4)
Se 0.0000 0.0000 0.5000 (multiplicity 2)